No. 1
Material: LuInIr
Method: DFT, PBE
State: relaxed

Unit cell a=6.535 b=6.535 c=6.535 alpha=90.00 beta=90.00 gamma=90.00
Space group F-43m (No. 216)
Inequivalent atoms, fractional coordinates:
Lu1 0.000 0.000 0.000 x4
In1 0.000 0.000 0.500 x4
Ir1 0.250 0.250 0.250 x4

Computed properties:
As for the crystal system: cubic. As for the formation enthalpy at 0 K: -1.833 eV/f.u. The calculation puts the electronic total energy at -5.9844 eV per atom.

---

No. 2
Material: Lu2InIr
Method: DFT, PBE
State: relaxed

Unit cell a=7.029 b=7.029 c=7.029 alpha=90.00 beta=90.00 gamma=90.00
Space group Fm-3m (No. 225)
Inequivalent atoms, fractional coordinates:
Lu1 0.250 0.250 0.250 x8
In1 0.000 0.000 0.000 x4
Ir1 0.000 0.000 0.500 x4

Computed properties:
Its offset from the most stable computed form is 120 meV/atom. As for the crystal system: cubic. As for the formation enthalpy at 0 K: -2.447 eV/f.u. The calculation puts the electronic total energy at -5.7721 eV per atom.

---

No. 3
Material: LuInIr2
Method: DFT, PBE
State: relaxed

Unit cell a=4.439 b=4.439 c=3.610 alpha=90.00 beta=90.00 gamma=90.00
Space group P4/mmm (No. 123)
Inequivalent atoms, fractional coordinates:
Lu1 0.000 0.000 0.000 x1
In1 0.500 0.500 0.000 x1
Ir1 0.000 0.500 0.500 x2

Computed properties:
As for the crystal system: tetragonal. As for the formation enthalpy at 0 K: -2.467 eV/f.u. The calculation puts the electronic total energy at -6.8621 eV per atom.

---

No. 4
Material: Lu2InIr
Method: DFT, PBE
State: relaxed

Unit cell a=3.460 b=3.460 c=7.377 alpha=90.00 beta=90.00 gamma=90.00
Space group P4/mmm (No. 123)
Inequivalent atoms, fractional coordinates:
Lu1 0.000 0.000 0.215 x2
In1 0.500 0.500 0.500 x1
Ir1 0.500 0.500 0.000 x1

Computed properties:
Its offset from the most stable computed form is 0 meV/atom. As for the crystal system: tetragonal. As for the formation enthalpy at 0 K: -2.926 eV/f.u. The calculation puts the electronic total energy at -5.8919 eV per atom.

---

No. 5
Material: LuInNiIr
Method: DFT, PBE
State: relaxed

Unit cell a=6.538 b=6.538 c=6.538 alpha=90.00 beta=90.00 gamma=90.00
Space group F-43m (No. 216)
Inequivalent atoms, fractional coordinates:
Lu1 0.000 0.000 0.000 x4
In1 0.000 0.000 0.500 x4
Ni1 0.250 0.250 0.750 x4
Ir1 0.250 0.250 0.250 x4

Computed properties:
As for the crystal system: cubic. As for the formation enthalpy at 0 K: -2.019 eV/f.u. The calculation puts the electronic total energy at -5.9802 eV per atom.

---

No. 6
Material: PmLuInIr
Method: DFT, PBE
State: relaxed

Unit cell a=7.205 b=7.205 c=7.205 alpha=90.00 beta=90.00 gamma=90.00
Space group F-43m (No. 216)
Inequivalent atoms, fractional coordinates:
Pm1 0.000 0.000 0.000 x4
Lu1 0.000 0.000 0.500 x4
In1 0.250 0.250 0.750 x4
Ir1 0.250 0.250 0.250 x4

Computed properties:
As for the crystal system: cubic. As for the formation enthalpy at 0 K: -2.035 eV/f.u. The calculation puts the electronic total energy at -5.7264 eV per atom.

---

Here are the calculated DOS at the Fermi energy numbers, same order: 3.54; 7.44; 0.66; 1.15; 9.50; 10.76 (states/eV per cell).